# 1
First-principles (GGA-PBE) data for AgTeO3 after structural relaxation, as listed in the Alexandria database.

Results
Calculated volume (Å³/f.u.): 66.0
Total magnetic moment (μB per formula unit): 0.00
Formation energy without anion corrections (eV/atom): -0.508

Unit cell a=4.0403 b=4.0403 c=4.0403 alpha=90.00 beta=90.00 gamma=90.00
Space group Pm-3m (No. 221)
One atom of each set of equivalent atoms:
1 Ag 0.0000 0.0000 0.0000
2 Te 0.5000 0.5000 0.5000
3 O 0.0000 0.5000 0.5000

---

# 2
First-principles (GGA-PBE) data for Sm2P4Ir3Pd after structural relaxation, as listed in the Alexandria database.

Results
Calculated volume (Å³/f.u.): 168.8
Total magnetic moment (μB per formula unit): 0.00
Energy of formation (eV/atom): -0.990

Unit cell a=4.2295 b=4.2295 c=9.4386 alpha=90.00 beta=90.00 gamma=90.00
Space group P-4m2 (No. 115)
One atom of each set of equivalent atoms:
1 Sm 0.0000 0.5000 0.2411
2 P 0.0000 0.0000 0.0000
3 P 0.0000 0.5000 0.6387
4 P 0.5000 0.5000 0.0000
5 Ir 0.0000 0.5000 0.8887
6 Ir 0.5000 0.5000 0.5000
7 Pd 0.0000 0.0000 0.5000

---

# 3
First-principles (GGA-PBE) data for AlZn4O6 after structural relaxation, as listed in the Alexandria database.

Results
Calculated volume (Å³/f.u.): 140.6
Total magnetic moment (μB per formula unit): 1.05
Formation energy without anion corrections (eV/atom): -1.497

Unit cell a=10.0069 b=5.8480 c=10.1528 alpha=90.00 beta=108.85 gamma=90.00
Space group Cc (No. 9)
One atom of each set of equivalent atoms:
1 Al 0.0000 0.2304 0.0000
2 Zn 0.0661 0.2738 0.5901
3 Zn 0.2486 0.3986 0.9331
4 Zn 0.2680 0.1113 0.2427
5 Zn 0.4232 0.4089 0.7492
6 O 0.0477 0.0321 0.4424
7 O 0.0665 0.2184 0.1812
8 O 0.0694 0.4805 0.9570
9 O 0.2501 0.2365 0.7538
10 O 0.3172 0.2837 0.4190
11 O 0.3763 0.2885 0.1293

---

# 4
First-principles (GGA-PBE) data for TlFe2As after structural relaxation, as listed in the Alexandria database.

Results
ΔE to the lowest computed polymorph (kJ per mole of atoms): 37.5
Calculated volume (Å³/f.u.): 67.5
Total magnetic moment (μB per formula unit): 5.49
Energy of formation (eV/atom): 0.584

Unit cell a=5.9427 b=7.6977 c=3.0061 alpha=90.00 beta=100.98 gamma=90.00
Space group C2/m (No. 12)
One atom of each set of equivalent atoms:
1 Tl 0.0000 0.0000 0.0000
2 Fe 0.2500 0.2500 0.5000
3 As 0.0000 0.5000 0.0000

---

# 5
First-principles (GGA-PBE) data for Cd3P2Cl2 after structural relaxation, as listed in the Alexandria database.

Results
Calculated volume (Å³/f.u.): 192.6
Total magnetic moment (μB per formula unit): 0.00
Formation energy without anion corrections (eV/atom): -0.508

Unit cell a=6.1738 b=8.2981 c=7.6846 alpha=90.00 beta=101.97 gamma=90.00
Space group P2_1/c (No. 14)
One atom of each set of equivalent atoms:
1 Cd 0.0000 0.0000 0.0000
2 Cd 0.3974 0.1623 0.6305
3 P 0.3662 0.0842 0.9422
4 Cl 0.2037 0.5618 0.8901

---

# 6
First-principles (GGA-PBE) data for MgMnCo after structural relaxation, as listed in the Alexandria database.

Results
ΔE to the lowest computed polymorph (kJ per mole of atoms): 13.7
Calculated volume (Å³/f.u.): 42.1
Total magnetic moment (μB per formula unit): 2.27
Energy of formation (eV/atom): 0.209

Unit cell a=6.1997 b=3.9087 c=6.9556 alpha=90.00 beta=90.00 gamma=90.00
Space group Pnma (No. 62)
One atom of each set of equivalent atoms:
1 Mg 0.0148 0.2500 0.1812
2 Mn 0.1589 0.2500 0.5695
3 Co 0.2096 0.7500 0.3880